# Ta2BeInCo (SCAN, PBEsol geometry)
data_Ta2BeInCo
_cell_length_a 4.556
_cell_length_b 4.556
_cell_length_c 4.067
_cell_angle_alpha 90.00
_cell_angle_beta 90.00
_cell_angle_gamma 90.00
_space_group_name_H-M_alt 'P 4/m m m'
_space_group_IT_number 123
_space_group_name_Hall '-P 4 2'
loop_
_atom_site_label
_atom_site_fract_x
_atom_site_fract_y
_atom_site_fract_z
_atom_site_occupancy
Ta1 0.000 0.500 0.000 1
Be1 0.000 0.000 0.500 1
In1 0.500 0.500 0.500 1
Co1 0.000 0.000 0.000 1
# DFT formation energy: 564 meV per atom
# spin magnetization: 0.00 μB/cell

# BeCoIr2 (SCAN, PBEsol geometry)
data_BeCoIr2
_cell_length_a 3.641
_cell_length_b 3.641
_cell_length_c 16.027
_cell_angle_alpha 90.00
_cell_angle_beta 90.00
_cell_angle_gamma 90.00
_space_group_name_H-M_alt 'I -4 2 d'
_space_group_IT_number 122
_space_group_name_Hall 'I -4 2bw'
loop_
_atom_site_label
_atom_site_fract_x
_atom_site_fract_y
_atom_site_fract_z
_atom_site_occupancy
Be1 0.000 0.000 0.000 1
Co1 0.000 0.000 0.500 1
Ir1 0.243 0.250 0.125 1
# DFT formation energy: 401 meV per atom
# spin magnetization: 9.02 μB/cell

# BeCoIr2 (SCAN, PBEsol geometry)
data_BeCoIr2
_cell_length_a 2.742
_cell_length_b 2.742
_cell_length_c 6.132
_cell_angle_alpha 90.00
_cell_angle_beta 90.00
_cell_angle_gamma 90.00
_space_group_name_H-M_alt 'P 4/m m m'
_space_group_IT_number 123
_space_group_name_Hall '-P 4 2'
loop_
_atom_site_label
_atom_site_fract_x
_atom_site_fract_y
_atom_site_fract_z
_atom_site_occupancy
Be1 0.000 0.000 0.000 1
Co1 0.000 0.000 0.500 1
Ir1 0.500 0.500 0.226 1
# DFT formation energy: -309 meV per atom
# spin magnetization: 2.85 μB/cell

# Be2CoIr (SCAN, PBEsol geometry)
data_Be2CoIr
_cell_length_a 5.366
_cell_length_b 5.366
_cell_length_c 5.366
_cell_angle_alpha 90.00
_cell_angle_beta 90.00
_cell_angle_gamma 90.00
_space_group_name_H-M_alt 'F m -3 m'
_space_group_IT_number 225
_space_group_name_Hall '-F 4 2 3'
loop_
_atom_site_label
_atom_site_fract_x
_atom_site_fract_y
_atom_site_fract_z
_atom_site_occupancy
Be1 0.250 0.250 0.250 1
Co1 0.000 0.000 0.000 1
Ir1 0.000 0.000 0.500 1
# DFT formation energy: -560 meV per atom
# distance to the lowest polymorph of the same formula: 0.000 eV per atom
# spin magnetization: 2.43 μB/cell

# BeCo2Ir (SCAN, PBEsol geometry)
data_BeCo2Ir
_cell_length_a 8.356
_cell_length_b 2.629
_cell_length_c 4.198
_cell_angle_alpha 90.00
_cell_angle_beta 110.90
_cell_angle_gamma 90.00
_space_group_name_H-M_alt 'C 1 m 1'
_space_group_IT_number 8
loop_
_space_group_symop_operation_xyz
'x,y,z'
'x,-y,z'
'x+1/2,y+1/2,z'
'x+1/2,-y+1/2,z'
loop_
_atom_site_label
_atom_site_fract_x
_atom_site_fract_y
_atom_site_fract_z
_atom_site_occupancy
Be1 0.000 0.000 0.000 1
Co1 0.225 0.500 0.319 1
Co2 0.481 0.000 0.488 1
Ir1 0.255 0.000 0.841 1
# DFT formation energy: -146 meV per atom
# spin magnetization: 7.52 μB/cell

# BeCo2Ir (SCAN, PBEsol geometry)
data_BeCo2Ir
_cell_length_a 3.999
_cell_length_b 3.999
_cell_length_c 2.785
_cell_angle_alpha 90.00
_cell_angle_beta 90.00
_cell_angle_gamma 90.00
_space_group_name_H-M_alt 'P 4/m m m'
_space_group_IT_number 123
_space_group_name_Hall '-P 4 2'
loop_
_atom_site_label
_atom_site_fract_x
_atom_site_fract_y
_atom_site_fract_z
_atom_site_occupancy
Be1 0.000 0.000 0.000 1
Co1 0.000 0.500 0.500 1
Ir1 0.500 0.500 0.000 1
# DFT formation energy: -122 meV per atom
# spin magnetization: 3.77 μB/cell

# Be2CoIr (SCAN, PBEsol geometry)
data_Be2CoIr
_cell_length_a 3.766
_cell_length_b 3.766
_cell_length_c 2.744
_cell_angle_alpha 90.00
_cell_angle_beta 90.00
_cell_angle_gamma 90.00
_space_group_name_H-M_alt 'P 4/m m m'
_space_group_IT_number 123
_space_group_name_Hall '-P 4 2'
loop_
_atom_site_label
_atom_site_fract_x
_atom_site_fract_y
_atom_site_fract_z
_atom_site_occupancy
Be1 0.000 0.500 0.000 1
Co1 0.000 0.000 0.500 1
Ir1 0.500 0.500 0.500 1
# DFT formation energy: -525 meV per atom
# distance to the lowest polymorph of the same formula: 0.035 eV per atom
# spin magnetization: 0.76 μB/cell

# BeCoIr2 (SCAN, PBEsol geometry)
data_BeCoIr2
_cell_length_a 2.674
_cell_length_b 4.494
_cell_length_c 8.182
_cell_angle_alpha 90.00
_cell_angle_beta 90.00
_cell_angle_gamma 90.00
_space_group_name_H-M_alt 'C m m 2'
_space_group_IT_number 35
loop_
_space_group_symop_operation_xyz
'x,y,z'
'-x,-y,z'
'-x,y,z'
'x,-y,z'
'x+1/2,y+1/2,z'
'-x+1/2,-y+1/2,z'
'-x+1/2,y+1/2,z'
'x+1/2,-y+1/2,z'
loop_
_atom_site_label
_atom_site_fract_x
_atom_site_fract_y
_atom_site_fract_z
_atom_site_occupancy
Be1 0.000 0.000 0.000 1
Co1 0.000 0.500 0.218 1
Ir1 0.000 0.000 0.477 1
Ir2 0.000 0.500 0.773 1
# DFT formation energy: 78 meV per atom
# spin magnetization: 4.99 μB/cell